[1]
This record from Alexandria via LeMat-Bulk describes TbSm2Tm3Bi6 after structural relaxation. The functional is PBE-GGA.

Cell lengths 10.024, 10.024, 8.967 Å; angles 102.80, 102.80, 25.86 degrees
Atoms (fractional coordinates):
Tb 0.000 0.000 0.000
Sm 0.334 0.334 0.667
Sm 0.666 0.666 0.333
Tm 0.000 0.000 0.500
Tm 0.333 0.333 0.167
Tm 0.667 0.667 0.833
Bi 0.165 0.165 0.588
Bi 0.167 0.167 0.077
Bi 0.498 0.498 0.252
Bi 0.502 0.502 0.748
Bi 0.833 0.833 0.923
Bi 0.835 0.835 0.412

uncorrected energy: -60.9 eV per cell

---

[2]
This record from Alexandria via LeMat-Bulk describes Mn3InGe after structural relaxation. The functional is PBE-GGA.

Cell lengths 4.620, 4.620, 4.620 Å; angles 90.00, 90.00, 90.00 degrees
Atoms (fractional coordinates):
Mn 0.000 0.000 0.500
Mn 0.000 0.500 0.000
Mn 0.500 0.000 0.000
In 0.500 0.500 0.500
Ge 0.000 0.000 0.000

uncorrected energy: -32.1 eV per cell

---

[3]
This record from Alexandria via LeMat-Bulk describes Tb2CePu after structural relaxation. The functional is PBE-GGA.

Cell lengths 11.662, 11.662, 11.662 Å; angles 17.27, 17.27, 17.27 degrees
Atoms (fractional coordinates):
Tb 0.000 0.000 0.000
Tb 0.169 0.169 0.169
Ce 0.418 0.418 0.418
Pu 0.584 0.584 0.584

uncorrected energy: -29.0 eV per cell

---

[4]
This record from Alexandria via LeMat-Bulk describes BaRhC2 after structural relaxation. The functional is PBE-GGA.

Cell lengths 6.652, 6.652, 6.652 Å; angles 134.00, 134.00, 67.09 degrees
Atoms (fractional coordinates):
Ba 0.000 0.000 0.000
Ba 0.750 0.250 0.500
Rh 0.250 0.750 0.500
Rh 0.500 0.500 0.000
C 0.308 0.625 0.183
C 0.375 0.558 0.683
C 0.442 0.125 0.817
C 0.875 0.692 0.317

uncorrected energy: -50.0 eV per cell

---

[5]
This record from Alexandria via LeMat-Bulk describes Co3RhS after structural relaxation. The functional is PBE-GGA.

Cell lengths 4.087, 4.087, 4.087 Å; angles 90.00, 90.00, 90.00 degrees
Atoms (fractional coordinates):
Co 0.000 0.000 0.500
Co 0.000 0.500 0.000
Co 0.500 0.000 0.000
Rh 0.500 0.500 0.500
S 0.000 0.000 0.000

formation energy from raw total energies: 1.79 eV per formula unit
uncorrected energy: -31.0 eV per cell

---

[6]
This record from Alexandria via LeMat-Bulk describes Sm12InGa5 after structural relaxation. The functional is PBE-GGA.

Cell lengths 8.804, 8.804, 8.804 Å; angles 112.15, 111.75, 104.62 degrees
Atoms (fractional coordinates):
Sm 0.037 0.234 0.803
Sm 0.180 0.275 0.455
Sm 0.180 0.725 0.904
Sm 0.321 0.026 0.705
Sm 0.321 0.617 0.295
Sm 0.431 0.234 0.197
Sm 0.569 0.766 0.803
Sm 0.679 0.383 0.705
Sm 0.679 0.974 0.295
Sm 0.820 0.275 0.096
Sm 0.820 0.725 0.545
Sm 0.963 0.766 0.197
In 0.500 0.500 0.000
Ga 0.000 0.000 0.000
Ga 0.120 0.620 0.500
Ga 0.357 0.000 0.357
Ga 0.643 0.000 0.643
Ga 0.880 0.380 0.500

uncorrected energy: -81.8 eV per cell

---

[7]
This record from Alexandria via LeMat-Bulk describes FeTe2RhN after structural relaxation. The functional is PBE-GGA.

Cell lengths 5.125, 5.125, 3.344 Å; angles 90.00, 90.00, 90.00 degrees
Atoms (fractional coordinates):
Fe 0.000 0.000 0.000
Te 0.000 0.500 0.000
Te 0.500 0.000 0.000
Rh 0.500 0.500 0.500
N 0.000 0.000 0.500

formation energy from raw total energies: 1.37 eV per formula unit
uncorrected energy: -29.0 eV per cell

---

[8]
This record from Alexandria via LeMat-Bulk describes LaZrAl2Pt after structural relaxation. The functional is PBE-GGA.

Cell lengths 4.811, 4.811, 5.485 Å; angles 90.00, 90.00, 90.00 degrees
Atoms (fractional coordinates):
La 0.000 0.000 0.000
Zr 0.500 0.500 0.000
Al 0.000 0.500 0.500
Al 0.500 0.000 0.500
Pt 0.000 0.000 0.500

uncorrected energy: -27.3 eV per cell

---

[9]
This record from Alexandria via LeMat-Bulk describes Ta2AlTl after structural relaxation. The functional is PBE-GGA.

Cell lengths 2.987, 2.987, 9.189 Å; angles 90.00, 90.00, 107.73 degrees
Atoms (fractional coordinates):
Ta 0.000 0.000 0.000
Ta 0.500 0.500 0.236
Al 0.000 0.000 0.461
Tl 0.500 0.500 0.728

uncorrected energy: -28.8 eV per cell

---

[10]
This record from Alexandria via LeMat-Bulk describes PuAl4Sn after structural relaxation. The functional is PBE-GGA.

Cell lengths 5.546, 5.546, 5.546 Å; angles 60.00, 60.00, 60.00 degrees
Atoms (fractional coordinates):
Pu 0.000 0.000 0.000
Al 0.124 0.625 0.625
Al 0.625 0.124 0.625
Al 0.625 0.625 0.124
Al 0.625 0.625 0.625
Sn 0.250 0.250 0.250

uncorrected energy: -33.8 eV per cell

---

[11]
This record from Alexandria via LeMat-Bulk describes Y2AlP after structural relaxation. The functional is PBE-GGA.

Cell lengths 6.408, 6.408, 6.408 Å; angles 106.05, 106.05, 116.55 degrees
Atoms (fractional coordinates):
Y 0.097 0.625 0.972
Y 0.375 0.347 0.472
Y 0.653 0.125 0.028
Y 0.875 0.903 0.528
Al 0.250 0.750 0.500
Al 0.500 0.500 0.000
P 0.000 0.000 0.000
P 0.750 0.250 0.500

uncorrected energy: -48.3 eV per cell

---

[12]
This record from Alexandria via LeMat-Bulk describes CaSm4Dy7 after structural relaxation. The functional is PBE-GGA.

Cell lengths 6.550, 6.886, 9.104 Å; angles 86.94, 77.26, 82.91 degrees
Atoms (fractional coordinates):
Ca 0.000 0.000 0.000
Sm 0.155 0.605 0.314
Sm 0.364 0.200 0.714
Sm 0.636 0.800 0.286
Sm 0.845 0.395 0.686
Dy 0.000 0.500 0.000
Dy 0.195 0.098 0.385
Dy 0.314 0.699 0.639
Dy 0.487 0.255 0.051
Dy 0.513 0.745 0.949
Dy 0.686 0.301 0.361
Dy 0.805 0.902 0.615

uncorrected energy: -51.8 eV per cell

---

[13]
This record from Alexandria via LeMat-Bulk describes Pr3Zn3Si after structural relaxation. The functional is PBE-GGA.

Cell lengths 10.239, 10.239, 10.239 Å; angles 156.60, 156.02, 33.75 degrees
Atoms (fractional coordinates):
Pr 0.000 0.000 0.000
Pr 0.371 0.371 0.000
Pr 0.695 0.195 0.500
Zn 0.126 0.626 0.500
Zn 0.552 0.552 0.000
Zn 0.823 0.823 0.000
Si 0.251 0.751 0.500

formation energy from raw total energies: -2.77 eV per formula unit
uncorrected energy: -26.3 eV per cell

---

[14]
This record from Alexandria via LeMat-Bulk describes K3Ac2YSe6 after structural relaxation. The functional is PBE-GGA.

Cell lengths 10.304, 10.304, 9.298 Å; angles 106.06, 106.06, 25.00 degrees
Atoms (fractional coordinates):
K 0.000 0.000 0.000
K 0.334 0.334 0.667
K 0.666 0.666 0.333
Ac 0.336 0.336 0.173
Ac 0.664 0.664 0.827
Y 0.000 0.000 0.500
Se 0.151 0.151 0.589
Se 0.173 0.173 0.067
Se 0.496 0.496 0.287
Se 0.504 0.504 0.713
Se 0.827 0.827 0.933
Se 0.849 0.849 0.411

formation energy from raw total energies: -21.45 eV per formula unit
uncorrected energy: -60.3 eV per cell

---

[15]
This record from Alexandria via LeMat-Bulk describes Ce2ZrAs3 after structural relaxation. The functional is PBE-GGA.

Cell lengths 9.107, 9.107, 9.107 Å; angles 153.93, 153.93, 37.20 degrees
Atoms (fractional coordinates):
Ce 0.166 0.166 0.000
Ce 0.834 0.834 0.000
Zr 0.500 0.500 0.000
As 0.000 0.000 0.000
As 0.339 0.339 0.000
As 0.661 0.661 0.000

uncorrected energy: -42.1 eV per cell

---

[16]
This record from Alexandria via LeMat-Bulk describes PrNd2I6 after structural relaxation. The functional is PBE-GGA.

Cell lengths 8.738, 8.738, 8.738 Å; angles 52.10, 52.10, 52.10 degrees
Atoms (fractional coordinates):
Pr 0.000 0.000 0.000
Nd 0.504 0.504 0.504
Nd 0.839 0.839 0.839
I 0.086 0.741 0.426
I 0.258 0.576 0.928
I 0.426 0.086 0.741
I 0.576 0.928 0.258
I 0.741 0.426 0.086
I 0.928 0.258 0.576

formation energy from raw total energies: -10.74 eV per formula unit
uncorrected energy: -34.4 eV per cell

---

[17]
This record from Alexandria via LeMat-Bulk describes CeAl4Bi after structural relaxation. The functional is PBE-GGA.

Cell lengths 5.659, 5.659, 5.659 Å; angles 60.00, 60.00, 60.00 degrees
Atoms (fractional coordinates):
Ce 0.000 0.000 0.000
Al 0.375 0.375 0.375
Al 0.375 0.375 0.876
Al 0.375 0.876 0.375
Al 0.876 0.375 0.375
Bi 0.750 0.750 0.750

uncorrected energy: -25.6 eV per cell

---

[18]
This record from Alexandria via LeMat-Bulk describes YTe2Ru after structural relaxation. The functional is PBE-GGA.

Cell lengths 3.935, 3.935, 6.194 Å; angles 90.00, 90.00, 90.00 degrees
Atoms (fractional coordinates):
Y 0.000 0.000 0.000
Te 0.000 0.000 0.467
Te 0.500 0.500 0.827
Ru 0.500 0.500 0.354

formation energy from raw total energies: -1.78 eV per formula unit
uncorrected energy: -23.8 eV per cell

---

[19]
This record from Alexandria via LeMat-Bulk describes Ti2TcTe after structural relaxation. The functional is PBE-GGA.

Cell lengths 5.873, 5.873, 5.873 Å; angles 103.56, 103.56, 122.08 degrees
Atoms (fractional coordinates):
Ti 0.083 0.625 0.958
Ti 0.375 0.333 0.458
Ti 0.667 0.125 0.042
Ti 0.875 0.917 0.542
Tc 0.000 0.000 0.000
Tc 0.750 0.250 0.500
Te 0.250 0.750 0.500
Te 0.500 0.500 0.000

formation energy from raw total energies: 0.35 eV per formula unit
uncorrected energy: -57.9 eV per cell

---

[20]
This record from Alexandria via LeMat-Bulk describes LaCu2SbS after structural relaxation. The functional is PBE-GGA.

Cell lengths 4.682, 4.682, 5.607 Å; angles 90.00, 90.00, 90.00 degrees
Atoms (fractional coordinates):
La 0.000 0.000 0.000
Cu 0.000 0.500 0.500
Cu 0.500 0.000 0.500
Sb 0.500 0.500 0.500
S 0.500 0.500 0.000

formation energy from raw total energies: -0.43 eV per formula unit
uncorrected energy: -21.8 eV per cell